#a
A geometry-optimized BeCdSiPd structure. Source: OQMD via LeMat-Bulk, functional GGA-PBE.

Unit cell a=4.368 b=4.368 c=4.368 alpha=60.00 beta=60.00 gamma=60.00
Fractional coordinates of all 4 atoms:
Be: 0.000 0.000 0.000
Cd: 0.750 0.750 0.750
Si: 0.500 0.500 0.500
Pd: 0.250 0.250 0.250

- Space group: F-43m
- Crystal system: cubic


#b
A geometry-optimized BeCdSiPd structure. Source: OQMD via LeMat-Bulk, functional GGA-PBE.

Unit cell a=4.402 b=4.402 c=4.402 alpha=60.00 beta=60.00 gamma=60.00
Fractional coordinates of all 4 atoms:
Be: 0.000 0.000 0.000
Cd: 0.250 0.250 0.250
Si: 0.750 0.750 0.750
Pd: 0.500 0.500 0.500

- Space group: F-43m
- Crystal system: cubic


Which of them is least stable? Easy: #b.